Entry 1:
PmGe2PtRh (PBE, optimized geometry); space group = I-4m2 (119); crystal system = tetragonal; electronic total energy = -31.69 eV per cell; magnetic moment = 0.00 μB per atom; N(E_F) = 3.45 states/eV per cell; energy relative to the elements = -0.863 eV/atom
1.0
-2.4711 -2.7341 -1.9481
3.1660 -2.7025 -0.2232
-1.7714 0.6625 5.7771
Ge Pm Rh Pt
2 1 1 1
Direct
0.6175 0.6175 0.2349 Ge
0.3826 0.3826 0.7651 Ge
0.0000 0.0000 0.0000 Pm
0.7500 0.2500 0.5000 Rh
0.2500 0.7500 0.5000 Pt

Entry 2:
TaAlO3 (PBE, optimized geometry); space group = Pm-3m (221); crystal system = cubic; electronic total energy = -38.81 eV per cell; magnetic moment = 0.34 μB per atom; formation energy (no corrections) = -1.668 eV/atom; N(E_F) = 2.86 states/eV per cell
1.0
-1.2835 1.0330 -3.2267
2.1328 -2.4346 -1.6278
-2.6324 -2.4762 0.2544
O Al Ta
3 1 1
Direct
0.5000 0.0000 0.0000 O
0.0000 0.5000 0.0000 O
0.0000 0.0000 0.5000 O
0.0000 0.0000 0.0000 Al
0.5000 0.5000 0.5000 Ta

Entry 3:
TbSmCoCu (PBE, optimized geometry); space group = Amm2 (38); crystal system = orthorhombic; electronic total energy = -21.24 eV per cell; magnetic moment = 0.00 μB per atom; N(E_F) = 3.32 states/eV per cell; distance to the lowest polymorph of the same formula = 0 meV per atom; energy relative to the elements = -0.171 eV/atom
1.0
3.8494 0.0000 0.0000
0.0000 4.2833 0.0000
-1.9247 0.0000 5.1503
Cu Tb Co Sm
1 1 1 1
Direct
0.5667 0.5000 0.1334 Cu
0.8621 0.5000 0.7242 Tb
0.4285 0.0000 0.8569 Co
0.1427 0.0000 0.2854 Sm

Entry 4:
SbTe3 (PBE, optimized geometry); space group = Fm-3m (225); crystal system = cubic; electronic total energy = -12.43 eV per cell; magnetic moment = 0.00 μB per atom; formation energy (no corrections) = 0.280 eV/atom; N(E_F) = 5.34 states/eV per cell; distance to the lowest polymorph of the same formula = 271 meV per atom
1.0
-0.9396 2.2390 -4.8430
3.4800 -0.7986 -4.0746
-1.4139 -3.1191 -4.1979
Sb Te
1 3
Direct
0.0000 0.0000 0.0000 Sb
0.7500 0.7500 0.7500 Te
0.5000 0.5000 0.5000 Te
0.2500 0.2500 0.2500 Te

Entry 5:
SiTe5 (PBE, optimized geometry); space group = P4/mmm (123); crystal system = tetragonal; electronic total energy = -18.81 eV per cell; magnetic moment = 0.00 μB per atom; formation energy (no corrections) = 0.387 eV/atom; N(E_F) = 4.52 states/eV per cell; distance to the lowest polymorph of the same formula = 279 meV per atom
1.0
3.6653 0.0000 0.0000
0.0000 3.6653 0.0000
0.0000 0.0000 11.8931
Te Si
5 1
Direct
0.0000 0.0000 0.5000 Te
0.0000 0.0000 0.8675 Te
0.5000 0.5000 0.3281 Te
0.0000 0.0000 0.1325 Te
0.5000 0.5000 0.6719 Te
0.5000 0.5000 0.0000 Si

Entry 6:
GaClF2 (PBE, optimized geometry); space group = I4_1/amd (141); crystal system = tetragonal; electronic total energy = -29.34 eV per cell; magnetic moment = 0.01 μB per atom; formation energy (no corrections) = -1.513 eV/atom; N(E_F) = 13.96 states/eV per cell; distance to the lowest polymorph of the same formula = 0 meV per atom
1.0
5.8552 0.0000 0.0000
0.0000 5.8552 0.0000
2.9276 2.9276 4.4291
Cl F Ga
2 4 2
Direct
0.2500 0.7500 0.5000 Cl
0.5000 0.5000 0.0000 Cl
0.3750 0.1252 0.7500 F
0.8752 0.6250 0.2500 F
0.8750 0.1248 0.7500 F
0.8748 0.1250 0.2500 F
0.7500 0.2500 0.5000 Ga
0.0000 0.0000 0.0000 Ga

Entry 7:
Rb4Ac3CdO8 (PBE, optimized geometry); space group = C2/m (12); crystal system = monoclinic; electronic total energy = -90.08 eV per cell; magnetic moment = 0.07 μB per atom; formation energy (no corrections) = -2.081 eV/atom; N(E_F) = 13.55 states/eV per cell
1.0
7.4912 0.0000 0.0000
0.0000 7.9017 0.2331
-3.7456 -3.7717 5.5161
O Cd Rb Ac
8 1 4 3
Direct
0.2230 0.6843 0.9580 O
0.7525 0.2955 0.5051 O
0.2475 0.7045 0.4949 O
0.2650 0.3157 0.0420 O
0.7770 0.3157 0.0420 O
0.2731 0.3116 0.5461 O
0.7269 0.6884 0.4539 O
0.7350 0.6843 0.9580 O
0.0000 0.5000 0.0000 Cd
0.0000 0.0000 0.0000 Rb
0.5000 0.0000 0.0000 Rb
0.5000 0.0000 0.5000 Rb
0.0000 0.0000 0.5000 Rb
0.5000 0.5000 0.5000 Ac
0.0000 0.5000 0.5000 Ac
0.5000 0.5000 0.0000 Ac

Entry 8:
PuHgBiPd (PBE, optimized geometry); space group = F-43m (216); crystal system = cubic; electronic total energy = -24.66 eV per cell; magnetic moment = 1.32 μB per atom; N(E_F) = 15.92 states/eV per cell; energy relative to the elements = -0.239 eV/atom
1.0
-0.5255 1.1695 -4.9766
3.8585 -0.9011 -3.2727
-0.4139 -3.7488 -3.4908
Pd Hg Pu Bi
1 1 1 1
Direct
0.0000 0.0000 0.0000 Pd
0.5000 0.5000 0.5000 Hg
0.2500 0.2500 0.2500 Pu
0.7500 0.7500 0.7500 Bi

Entry 9:
TaCo2SiMo (PBE, optimized geometry); space group = P4/mmm (123); crystal system = tetragonal; electronic total energy = -33.86 eV per cell; magnetic moment = 0.37 μB per atom; formation energy (no corrections) = 1.692 eV/atom; N(E_F) = 5.54 states/eV per cell
1.0
4.4249 0.0000 0.0000
0.0000 4.8314 0.0000
0.0000 0.0000 4.4249
Co Ta Si Mo
2 1 1 1
Direct
0.0000 0.0000 0.5000 Co
0.5000 0.0000 0.0000 Co
0.0000 0.0000 0.0000 Ta
0.5000 0.5000 0.5000 Si
0.0000 0.5000 0.0000 Mo